[1]
# TbPRu

A relaxed TbPRu crystal (PBE, Alexandria).

Computed properties:
- ΔE_f (kJ per mole of atoms) = -68.3

Cell lengths 8.4714, 8.4714, 7.8792 Å; angles 92.78, 92.78, 27.61 degrees
Positions (direct):
Tb  0.0639  0.0639  0.3330
Tb  0.3936  0.3936  0.1337
Tb  0.6064  0.6064  0.8663
Tb  0.9361  0.9361  0.6670
P  0.1711  0.1711  0.6177
P  0.1801  0.1801  0.1130
P  0.8199  0.8199  0.8870
P  0.8289  0.8289  0.3823
Ru  0.2513  0.2513  0.8704
Ru  0.2556  0.2556  0.3789
Ru  0.7444  0.7444  0.6211
Ru  0.7487  0.7487  0.1296

=====

[2]
# TbP2Ru4

A relaxed TbP2Ru4 crystal (PBE, Alexandria).

Computed properties:
- ΔE_f (kJ per mole of atoms) = -67.5

Cell lengths 7.4906, 7.4906, 3.7913 Å; angles 90.00, 90.00, 90.00 degrees
Positions (direct):
Tb  0.0000  0.0000  0.0000
Tb  0.5000  0.5000  0.5000
P  0.2251  0.2251  0.5000
P  0.2749  0.7251  0.0000
P  0.7251  0.2749  0.0000
P  0.7749  0.7749  0.5000
Ru  0.0738  0.6642  0.5000
Ru  0.1642  0.4262  0.0000
Ru  0.3358  0.9262  0.5000
Ru  0.4262  0.1642  0.0000
Ru  0.5738  0.8358  0.0000
Ru  0.6642  0.0738  0.5000
Ru  0.8358  0.5738  0.0000
Ru  0.9262  0.3358  0.5000

=====

[3]
# TbP3Ru5

A relaxed TbP3Ru5 crystal (PBE, Alexandria).

Computed properties:
- ΔE_f (kJ per mole of atoms) = -54.1

Cell lengths 6.3858, 6.3858, 11.9818 Å; angles 90.00, 90.00, 144.69 degrees
Positions (direct):
Tb  0.1632  0.8368  0.7500
Tb  0.8368  0.1632  0.2500
P  0.1316  0.8684  0.2500
P  0.3869  0.6131  0.0468
P  0.3869  0.6131  0.4532
P  0.6131  0.3869  0.5468
P  0.6131  0.3869  0.9532
P  0.8684  0.1316  0.7500
Ru  0.0000  0.0000  0.0000
Ru  0.0000  0.0000  0.5000
Ru  0.2064  0.7936  0.0751
Ru  0.2064  0.7936  0.4249
Ru  0.4436  0.5564  0.6474
Ru  0.4436  0.5564  0.8526
Ru  0.5564  0.4436  0.1474
Ru  0.5564  0.4436  0.3526
Ru  0.7936  0.2064  0.5751
Ru  0.7936  0.2064  0.9249

=====

| no. | spin magnetization (μB/atom) |
| --- | --- |
| 1 | 0.00 |
| 2 | 0.00 |
| 3 | 0.00 |